A relaxed structure of ErNp6S8, computed with GGA-PBE.

Geometry as CIF:
```
data_ErNp6S8
_symmetry_space_group_name_H-M 'P 1'
_symmetry_Int_Tables_number 1
_symmetry_space_group_name_Hall 'P 1'
_cell_length_a 7.810
_cell_length_b 7.810
_cell_length_c 7.810
_cell_angle_alpha 60.00
_cell_angle_beta 60.00
_cell_angle_gamma 60.00
loop_
_atom_site_label
_atom_site_type_symbol
_atom_site_fract_x
_atom_site_fract_y
_atom_site_fract_z
Er1 Er 0.000 0.000 0.000
Np1 Np 0.000 0.000 0.500
Np2 Np 0.000 0.500 0.000
Np3 Np 0.000 0.500 0.500
Np4 Np 0.500 0.000 0.000
Np5 Np 0.500 0.000 0.500
Np6 Np 0.500 0.500 0.000
S1 S 0.248 0.248 0.752
S2 S 0.248 0.752 0.248
S3 S 0.248 0.752 0.752
S4 S 0.250 0.250 0.250
S5 S 0.750 0.750 0.750
S6 S 0.752 0.248 0.248
S7 S 0.752 0.248 0.752
S8 S 0.752 0.752 0.248
```

Results
Total moment   1.70 μB per atom
SG   No. 225
Volume   22.453 Å³ per atom
Final energy   -9.16 eV/atom

=====

A relaxed structure of ErNpS3, computed with GGA-PBE.

Geometry as CIF:
```
data_ErNpS3
_symmetry_space_group_name_H-M 'P 1'
_symmetry_Int_Tables_number 1
_symmetry_space_group_name_Hall 'P 1'
_cell_length_a 6.939
_cell_length_b 6.939
_cell_length_c 6.986
_cell_angle_alpha 90.00
_cell_angle_beta 90.00
_cell_angle_gamma 120.00
loop_
_atom_site_label
_atom_site_type_symbol
_atom_site_fract_x
_atom_site_fract_y
_atom_site_fract_z
Er1 Er 0.000 0.000 0.000
Er2 Er 0.000 0.000 0.500
Np1 Np 0.333 0.667 0.000
Np2 Np 0.333 0.667 0.500
S1 S 0.072 0.330 0.250
S2 S 0.072 0.742 0.750
S3 S 0.258 0.330 0.750
S4 S 0.258 0.928 0.250
S5 S 0.670 0.742 0.250
S6 S 0.670 0.928 0.750
```

Results
Total moment   0.79 μB per atom
E above lowest polymorph   124 meV/atom
SG   No. 188
Volume   29.135 Å³ per atom
Final energy   -7.59 eV/atom

=====

A relaxed structure of ErNp3S6, computed with GGA-PBE.

Geometry as CIF:
```
data_ErNp3S6
_symmetry_space_group_name_H-M 'P 1'
_symmetry_Int_Tables_number 1
_symmetry_space_group_name_Hall 'P 1'
_cell_length_a 10.849
_cell_length_b 3.933
_cell_length_c 11.297
_cell_angle_alpha 90.00
_cell_angle_beta 108.05
_cell_angle_gamma 90.00
loop_
_atom_site_label
_atom_site_type_symbol
_atom_site_fract_x
_atom_site_fract_y
_atom_site_fract_z
Er1 Er 0.044 0.250 0.189
Er2 Er 0.956 0.750 0.811
Np1 Np 0.160 0.250 0.581
Np2 Np 0.318 0.750 0.997
Np3 Np 0.428 0.250 0.332
Np4 Np 0.572 0.750 0.668
Np5 Np 0.682 0.250 0.003
Np6 Np 0.840 0.750 0.419
S1 S 0.083 0.750 0.400
S2 S 0.112 0.250 0.962
S3 S 0.191 0.750 0.749
S4 S 0.251 0.750 0.221
S5 S 0.402 0.250 0.564
S6 S 0.484 0.250 0.117
S7 S 0.516 0.750 0.883
S8 S 0.598 0.750 0.436
S9 S 0.749 0.250 0.779
S10 S 0.809 0.250 0.251
S11 S 0.888 0.750 0.038
S12 S 0.917 0.250 0.600
```

Results
Total moment   1.19 μB per atom
SG   No. 11
Volume   22.916 Å³ per atom
Final energy   -8.33 eV/atom

=====

A relaxed structure of Er3NpS6, computed with GGA-PBE.

Geometry as CIF:
```
data_Er3NpS6
_symmetry_space_group_name_H-M 'P 1'
_symmetry_Int_Tables_number 1
_symmetry_space_group_name_Hall 'P 1'
_cell_length_a 10.994
_cell_length_b 3.924
_cell_length_c 11.188
_cell_angle_alpha 90.00
_cell_angle_beta 108.68
_cell_angle_gamma 90.00
loop_
_atom_site_label
_atom_site_type_symbol
_atom_site_fract_x
_atom_site_fract_y
_atom_site_fract_z
Er1 Er 0.065 0.250 0.167
Er2 Er 0.180 0.750 0.502
Er3 Er 0.341 0.250 0.916
Er4 Er 0.659 0.750 0.084
Er5 Er 0.820 0.250 0.498
Er6 Er 0.935 0.750 0.833
Np1 Np 0.452 0.250 0.309
Np2 Np 0.548 0.750 0.691
S1 S 0.022 0.250 0.387
S2 S 0.103 0.250 0.937
S3 S 0.242 0.750 0.275
S4 S 0.307 0.750 0.750
S5 S 0.385 0.250 0.539
S6 S 0.418 0.750 0.098
S7 S 0.582 0.250 0.902
S8 S 0.615 0.750 0.461
S9 S 0.693 0.250 0.250
S10 S 0.758 0.250 0.725
S11 S 0.897 0.750 0.063
S12 S 0.978 0.750 0.613
```

Results
Total moment   0.40 μB per atom
SG   No. 11
Volume   22.861 Å³ per atom
Final energy   -7.04 eV/atom

=====

What is the total moment in the first record?
1.70 μB per atom

=====

What did the fourth record say?
A relaxed structure of Er3NpS6, computed with GGA-PBE.

Geometry as CIF:
```
data_Er3NpS6
_symmetry_space_group_name_H-M 'P 1'
_symmetry_Int_Tables_number 1
_symmetry_space_group_name_Hall 'P 1'
_cell_length_a 10.994
_cell_length_b 3.924
_cell_length_c 11.188
_cell_angle_alpha 90.00
_cell_angle_beta 108.68
_cell_angle_gamma 90.00
loop_
_atom_site_label
_atom_site_type_symbol
_atom_site_fract_x
_atom_site_fract_y
_atom_site_fract_z
Er1 Er 0.065 0.250 0.167
Er2 Er 0.180 0.750 0.502
Er3 Er 0.341 0.250 0.916
Er4 Er 0.659 0.750 0.084
Er5 Er 0.820 0.250 0.498
Er6 Er 0.935 0.750 0.833
Np1 Np 0.452 0.250 0.309
Np2 Np 0.548 0.750 0.691
S1 S 0.022 0.250 0.387
S2 S 0.103 0.250 0.937
S3 S 0.242 0.750 0.275
S4 S 0.307 0.750 0.750
S5 S 0.385 0.250 0.539
S6 S 0.418 0.750 0.098
S7 S 0.582 0.250 0.902
S8 S 0.615 0.750 0.461
S9 S 0.693 0.250 0.250
S10 S 0.758 0.250 0.725
S11 S 0.897 0.750 0.063
S12 S 0.978 0.750 0.613
```

Results
Total moment   0.40 μB per atom
SG   No. 11
Volume   22.861 Å³ per atom
Final energy   -7.04 eV/atom

=====

Look up the volume of the second one.
29.135 Å³ per atom

=====

Repeat the second record exactly.
A relaxed structure of ErNpS3, computed with GGA-PBE.

Geometry as CIF:
```
data_ErNpS3
_symmetry_space_group_name_H-M 'P 1'
_symmetry_Int_Tables_number 1
_symmetry_space_group_name_Hall 'P 1'
_cell_length_a 6.939
_cell_length_b 6.939
_cell_length_c 6.986
_cell_angle_alpha 90.00
_cell_angle_beta 90.00
_cell_angle_gamma 120.00
loop_
_atom_site_label
_atom_site_type_symbol
_atom_site_fract_x
_atom_site_fract_y
_atom_site_fract_z
Er1 Er 0.000 0.000 0.000
Er2 Er 0.000 0.000 0.500
Np1 Np 0.333 0.667 0.000
Np2 Np 0.333 0.667 0.500
S1 S 0.072 0.330 0.250
S2 S 0.072 0.742 0.750
S3 S 0.258 0.330 0.750
S4 S 0.258 0.928 0.250
S5 S 0.670 0.742 0.250
S6 S 0.670 0.928 0.750
```

Results
Total moment   0.79 μB per atom
E above lowest polymorph   124 meV/atom
SG   No. 188
Volume   29.135 Å³ per atom
Final energy   -7.59 eV/atom